The following is a GGA-PBE calculation of crystalline Nd8CN3Cl4 at its relaxed geometry, from Alexandria.

Lattice parameters (Å, degrees): 7.4405 8.2700 7.4390 116.70 120.01 90.00
Element x y z (fractional)
Nd 0.2311 0.6880 0.9570
Nd 0.2310 0.6881 0.4621
Nd 0.2712 0.3135 0.5424
Nd 0.7259 0.6880 0.9570
Nd 0.2741 0.3120 0.0430
Nd 0.7288 0.6865 0.4576
Nd 0.7690 0.3119 0.5379
Nd 0.7689 0.3120 0.0430
C 0.0000 0.5000 0.0000
N 0.5000 0.5000 0.0000
N 0.5000 0.5000 0.5000
N 0.0000 0.5000 0.5000
Cl 0.5000 0.0000 0.0000
Cl 0.5000 0.0000 0.5000
Cl 0.0000 0.0000 0.0000
Cl 0.0000 0.0000 0.5000

The calculated total energy comes out at -102.43 eV for the cell shown. The calculated density is 6615 kg/m3. The uncorrected formation energy comes out at -1419 meV per atom.